# 1
VASP calculation (SCAN) on a PBEsol-optimized structure of Zr3FeAs.

The structure belongs to space group Pm-3m (No. 221); the cell edges are 4.684, 4.684 and 4.684 Å and the angles 90.00°, 90.00° and 90.00°. The asymmetric unit holds Zr at (0.000, 0.000, 0.500), Fe at (0.000, 0.000, 0.000) and As at (0.500, 0.500, 0.500).

The calculation puts the energy at -26.0654 eV/atom.


# 2
VASP calculation (SCAN) on a PBEsol-optimized structure of ZrFe2As.

The structure belongs to space group P4mm (No. 99); the cell edges are 3.043, 3.043 and 6.212 Å and the angles 90.00°, 90.00° and 90.00°. The asymmetric unit holds Zr at (0.000, 0.000, 0.000), Fe at (0.000, 0.000, 0.520), Fe at (0.500, 0.500, 0.721) and As at (0.500, 0.500, 0.322).

The calculation puts the energy at -21.9821 eV/atom.


# 3
VASP calculation (SCAN) on a PBEsol-optimized structure of ZrFeAs2.

The structure belongs to space group R-3m (No. 166, hexagonal axes); the cell edges are 3.7470, 3.7470 and 15.7130 Å and the angles 90.00°, 90.00° and 120.00°. The asymmetric unit holds Zr at (0.0000, 0.0000, 0.0000), Fe at (0.0000, 0.0000, 0.5000) and As at (0.0000, 0.0000, 0.2315).

The calculation puts the energy at -22.7961 eV/atom.


# 4
VASP calculation (SCAN) on a PBEsol-optimized structure of ZrFeAs.

The structure belongs to space group Pnma (No. 62); the cell edges are 6.414, 3.867 and 7.131 Å and the angles 90.00°, 90.00° and 90.00°. The asymmetric unit holds Zr at (0.013, 0.250, 0.190), Fe at (0.146, 0.250, 0.564) and As at (0.221, 0.750, 0.388).

The calculation puts the energy at -23.7662 eV/atom.


# 5
VASP calculation (SCAN) on a PBEsol-optimized structure of Ga3As.

The structure belongs to space group Pm-3m (No. 221); the cell edges are 4.183, 4.183 and 4.183 Å and the angles 90.00°, 90.00° and 90.00°. The asymmetric unit holds Ga at (0.000, 0.000, 0.500) and As at (0.500, 0.500, 0.500).

The calculation puts the energy at -17.0970 eV/atom.


# 6
VASP calculation (SCAN) on a PBEsol-optimized structure of GaAs.

The structure belongs to space group P6_3mc (No. 186); the cell edges are 3.9885, 3.9885 and 6.5726 Å and the angles 90.00°, 90.00° and 120.00°. The asymmetric unit holds Ga at (0.3333, 0.6667, 0.0000) and As at (0.3333, 0.6667, 0.6260).

The calculation puts the energy at -18.6497 eV/atom.